Computed, not measured: KFeAg2 after structural relaxation at the PBE level of DFT.

Energy above the most stable polymorph in this dataset in meV/atom: 196
Total magnetic moment in Bohr magnetons per cell: 2.9
VASP energy in eV/atom: -3.176
Energy of formation in eV per atom: 0.640

abc: 5.4201 5.4201 2.8314
angles: 90.00 90.00 90.00
Last column: magnetic moment on the atom in μB.
Atoms (fractional coordinates):
Fe  0.5000  0.0000  0.5000  3.02
K  0.0000  0.5000  0.5000  -0.01
Ag  0.5000  0.5000  0.0000  -0.01
Ag  0.0000  0.0000  0.0000  -0.01